A geometry-optimized Li3Mn7O16 structure. Source: Alexandria via LeMat-Bulk, functional PBE with a Hubbard U.

E = -175.01 eV per cell
SG = R3m (160)
Crystal system = trigonal
Spin magnetization = 0.769 μB/atom

The structure in POSCAR format:
```
Li3Mn7O16
1.0
10.089 0.010 0.006
8.396 5.595 0.006
8.396 2.546 4.982
O Mn Li
16 7 3
Cartesian
18.472 7.319 4.485 O
14.516 5.853 1.958 O
10.249 3.107 1.904 O
19.426 4.172 4.485 O
3.206 0.972 0.596 O
14.516 4.401 4.326 O
7.473 3.968 0.521 O
19.426 5.890 1.680 O
8.418 0.850 0.521 O
15.322 3.195 1.958 O
12.367 3.750 0.676 O
16.606 5.035 3.085 O
23.684 7.181 4.400 O
12.367 2.305 3.034 O
7.473 2.266 3.299 O
11.565 4.951 3.034 O
0.026 0.008 0.005 Mn
15.098 6.071 3.720 Mn
10.951 4.823 1.269 Mn
15.927 4.829 1.283 Mn
11.786 2.071 1.269 Mn
10.951 3.320 3.721 Mn
15.927 3.336 3.720 Mn
5.083 1.541 0.944 Li
21.788 6.606 4.048 Li
8.348 2.531 1.551 Li
```